Below is a relaxed NiAsCl2 crystal, with properties calculated at the GGA-PBE level.

Cell lengths 9.3600, 9.3600, 4.4741 Å; angles 90.00, 90.00, 90.00 degrees
With the nearest neighbours (Å) after each atom.
Space group I-42d (No. 122)
Unique sites:
Ni (0.0000, 0.0000, 0.0000) x4  2 As 2.24, 4 Cl 2.41
As (0.0000, 0.0000, 0.5000) x4  2 Ni 2.24
Cl (0.0033, 0.7500, 0.1250) x8  2 Ni 2.41

- total energy (eV for the cell shown) = -56.9
- ΔE_f (raw) (eV per atom) = -0.03
- spin magnetization (μB/atom) = 0.00